(1)
# CePaTl2Se4 PBE relaxed
# - Total DFT energy (no corrections): -43.181 eV per formula unit
data_CePaTl2Se4
_cell_length_a 7.3632
_cell_length_b 4.2234
_cell_length_c 8.2565
_cell_angle_alpha 90.00
_cell_angle_beta 107.03
_cell_angle_gamma 90.00
_space_group_name_H-M_alt 'P 1 2/m 1'
_space_group_IT_number 10
_space_group_name_Hall '-P 2y'
loop_
_atom_site_label
_atom_site_type_symbol
_atom_site_fract_x
_atom_site_fract_y
_atom_site_fract_z
Ce1 Ce 0.0000 0.0000 0.0000
Pa1 Pa 0.5000 0.5000 0.0000
Tl1 Tl 0.0000 0.5000 0.5000
Tl2 Tl 0.5000 0.0000 0.5000
Se1 Se 0.2462 0.5000 0.2091
Se2 Se 0.2736 0.0000 0.7936

---

(2)
# Ce2TmPaSe5 PBE relaxed
# - Total DFT energy (no corrections): -53.238 eV per formula unit
data_Ce2TmPaSe5
_cell_length_a 5.0437
_cell_length_b 5.0437
_cell_length_c 10.8678
_cell_angle_alpha 90.00
_cell_angle_beta 90.00
_cell_angle_gamma 90.00
_space_group_name_H-M_alt 'P 4/m m m'
_space_group_IT_number 123
_space_group_name_Hall '-P 4 2'
loop_
_atom_site_label
_atom_site_type_symbol
_atom_site_fract_x
_atom_site_fract_y
_atom_site_fract_z
Ce1 Ce 0.0000 0.0000 0.2060
Tm1 Tm 0.5000 0.5000 0.0000
Pa1 Pa 0.5000 0.5000 0.5000
Se1 Se 0.0000 0.0000 0.5000
Se2 Se 0.0000 0.5000 0.0000
Se3 Se 0.5000 0.5000 0.2514

---

(3)
# CeTm2PaSe4 PBE relaxed
# - Total DFT energy (no corrections): -50.959 eV per formula unit
data_CeTm2PaSe4
_cell_length_a 6.9239
_cell_length_b 3.9850
_cell_length_c 7.3113
_cell_angle_alpha 90.00
_cell_angle_beta 108.31
_cell_angle_gamma 90.00
_space_group_name_H-M_alt 'P 1 2/m 1'
_space_group_IT_number 10
_space_group_name_Hall '-P 2y'
loop_
_atom_site_label
_atom_site_type_symbol
_atom_site_fract_x
_atom_site_fract_y
_atom_site_fract_z
Ce1 Ce 0.0000 0.0000 0.0000
Tm1 Tm 0.0000 0.5000 0.5000
Tm2 Tm 0.5000 0.0000 0.5000
Pa1 Pa 0.5000 0.5000 0.0000
Se1 Se 0.2483 0.0000 0.7364
Se2 Se 0.2582 0.5000 0.2658